# Li5CaPb7

Li5CaPb7 after structural relaxation (PBE-GGA, Alexandria).

Symmetry: Imm2
Calculated formation energy: -241.7 meV/atom
Uncorrected energy: -3.13 eV per atom

Unit cell a=7.899 b=7.899 c=7.899 alpha=134.40 beta=97.85 gamma=99.43
Atoms (fractional coordinates):
Li  0.000  0.000  0.000
Li  0.247  0.255  0.512
Li  0.247  0.735  0.992
Li  0.742  0.255  0.008
Li  0.742  0.735  0.488
Ca  0.248  0.748  0.500
Pb  0.043  0.230  0.813
Pb  0.417  0.230  0.187
Pb  0.481  0.481  0.000
Pb  0.593  0.758  0.834
Pb  0.601  0.101  0.500
Pb  0.915  0.415  0.500
Pb  0.924  0.758  0.166

***

# LiCa2Pb

LiCa2Pb after structural relaxation (PBE-GGA, Alexandria).

Symmetry: Cmmm
Calculated formation energy: -363.2 meV/atom
Uncorrected energy: -2.77 eV per atom

Unit cell a=5.484 b=5.484 c=3.909 alpha=90.00 beta=90.00 gamma=90.11
Atoms (fractional coordinates):
Li  0.000  0.000  0.000
Ca  0.000  0.500  0.500
Ca  0.500  0.000  0.500
Pb  0.500  0.500  0.000

***

# LiCaPb2

LiCaPb2 after structural relaxation (PBE-GGA, Alexandria).

Symmetry: I-42d
Calculated formation energy: -144.2 meV/atom
Uncorrected energy: -2.98 eV per atom

Unit cell a=10.744 b=10.744 c=10.744 alpha=153.56 beta=153.56 gamma=37.74
Atoms (fractional coordinates):
Li  0.000  0.000  0.000
Li  0.750  0.250  0.500
Ca  0.250  0.750  0.500
Ca  0.500  0.500  0.000
Pb  0.078  0.625  0.953
Pb  0.375  0.328  0.453
Pb  0.672  0.125  0.047
Pb  0.875  0.922  0.547

***

# LiCaPb4

LiCaPb4 after structural relaxation (PBE-GGA, Alexandria).

Symmetry: P2/m
Calculated formation energy: -184.1 meV/atom
Uncorrected energy: -3.31 eV per atom

Unit cell a=3.629 b=5.532 c=8.923 alpha=90.00 beta=95.03 gamma=90.00
Atoms (fractional coordinates):
Li  0.000  0.000  0.000
Ca  0.000  0.500  0.500
Pb  0.299  0.500  0.153
Pb  0.449  0.000  0.680
Pb  0.551  0.000  0.320
Pb  0.701  0.500  0.847